(1)
DFT (GGA-PBE) results for a relaxed Pm3Nd2YS6 crystal.

Summary:
Its symmetry is C2/m, No. 12. The total magnetic moment is 0.0 μB per cell. The uncorrected formation energy comes out at -2.027 eV/atom.

Cell: 6.9831 6.9831 6.9672 Å, 99.59 99.59 120.15°
Last column: nearest neighbours and their distance in Å.
Sites, in units of the cell vectors:
S  0.7586  0.7586  0.2504  1 Y 2.80, 3 Pm 2.85-2.89, 2 Nd 2.88
S  0.4074  0.0823  0.2473  1 Y 2.79, 3 Pm 2.83-2.87, 2 Nd 2.86
S  0.2414  0.2414  0.7496  1 Y 2.80, 3 Pm 2.85-2.89, 2 Nd 2.88
S  0.0823  0.4074  0.2473  1 Y 2.79, 3 Pm 2.83-2.87, 2 Nd 2.86
S  0.9177  0.5926  0.7527  1 Y 2.79, 3 Pm 2.83-2.87, 2 Nd 2.86
S  0.5926  0.9177  0.7527  1 Y 2.79, 3 Pm 2.83-2.87, 2 Nd 2.86
Pm  0.5000  0.5000  0.5000  6 S 2.84-2.89
Pm  0.8297  0.1703  0.5000  6 S 2.83-2.87
Pm  0.1703  0.8297  0.5000  6 S 2.83-2.87
Y  0.0000  0.0000  0.0000  6 S 2.79-2.80
Nd  0.3331  0.6669  0.0000  6 S 2.86-2.88
Nd  0.6669  0.3331  0.0000  6 S 2.86-2.88

***

(2)
DFT (GGA-PBE) results for a relaxed Dy3Ag4AsS8 crystal.

Summary:
Its symmetry is C2/m, No. 12. The total magnetic moment is 0.0 μB per cell. The uncorrected formation energy comes out at -0.954 eV/atom.

Cell: 7.9341 7.7395 7.9265 Å, 121.28 120.03 90.00°
Last column: nearest neighbours and their distance in Å.
Sites, in units of the cell vectors:
Ag  0.0000  0.0000  0.0000  6 S 2.78-2.79
Ag  0.5000  0.0000  0.0000  6 S 2.85-2.90
Ag  0.5000  0.0000  0.5000  6 S 2.75-2.82
Ag  0.0000  0.0000  0.5000  6 S 2.75-2.82
S  0.2409  0.2639  0.0008  1 As 2.64, 3 Ag 2.75-2.90, 2 Dy 2.75
S  0.7598  0.2639  0.0008  1 As 2.64, 3 Ag 2.75-2.90, 2 Dy 2.75
S  0.7472  0.7381  0.4944  3 Dy 2.72, 3 Ag 2.78-2.82
S  0.2402  0.7361  0.9992  1 As 2.64, 3 Ag 2.75-2.90, 2 Dy 2.75
S  0.2528  0.2619  0.5056  3 Dy 2.72, 3 Ag 2.78-2.82
S  0.2410  0.7370  0.4820  1 As 2.65, 2 Dy 2.75, 3 Ag 2.79-2.85
S  0.7590  0.2630  0.5180  1 As 2.65, 2 Dy 2.75, 3 Ag 2.79-2.85
S  0.7591  0.7361  0.9992  1 As 2.64, 3 Ag 2.75-2.90, 2 Dy 2.75
As  0.0000  0.5000  0.0000  6 S 2.64-2.65
Dy  0.5000  0.5000  0.5000  6 S 2.72-2.75
Dy  0.5000  0.5000  0.0000  6 S 2.72-2.75
Dy  0.0000  0.5000  0.5000  6 S 2.72-2.75

***

How do the records compare in mass density? In the order shown, they have 6.0, 6.2 g/cm³.